Record 1
## Fe2MoP (PBE-GGA)

Data for a relaxed structure of Fe2MoP.

Output
E_form	-0.203	eV per atom

Cell: 2.689 2.689 6.429 Å, 90.00 90.00 90.00°
Positions (direct):
Fe  0.000  0.000  0.548
P  0.500  0.500  0.750
Mo  0.500  0.500  0.250
Fe  0.000  0.000  0.952

***

Record 2
## Fe2MoP (PBE-GGA)

Data for a relaxed structure of Fe2MoP.

Output
E_form	0.083	eV per atom

Cell: 4.609 4.865 2.688 Å, 79.18 79.22 114.96°
Each line ends with the local moment (μB).
Positions (direct):
P  0.500  0.500  0.000  0.03
Fe  0.500  0.000  0.500  2.19
Fe  0.000  0.000  0.000  2.19
Mo  0.000  0.500  0.500  -0.09

***

Record 3
## Fe2MoP (PBE-GGA)

Data for a relaxed structure of Fe2MoP.

Output
E_form	-0.142	eV per atom

Cell: 4.681 4.681 4.225 Å, 64.55 64.55 36.28°
Each line ends with the local moment (μB).
Positions (direct):
Fe  0.968  0.968  0.058  1.16
Fe  0.745  0.745  0.776  0.18
P  0.264  0.264  0.162  -0.01
Mo  0.523  0.523  0.504  -0.18

***

Record 4
## Fe3MoP (PBE-GGA)

Data for a relaxed structure of Fe3MoP.

Output
E_form	0.605	eV per atom

Cell: 4.052 4.052 4.052 Å, 90.00 90.00 90.00°
Each line ends with the local moment (μB).
Positions (direct):
P  0.000  0.000  0.000  0.03
Fe  0.500  0.000  0.000  -0.29
Fe  0.000  0.500  0.000  -0.32
Mo  0.500  0.500  0.500  1.60
Fe  0.000  0.000  0.500  -0.24

***

Record 5
## Fe2MoP12 (PBE-GGA)

Data for a relaxed structure of Fe2MoP12.

Output
E_form	-0.373	eV per atom

Cell: 5.685 11.132 13.771 Å, 90.00 90.00 90.00°
Positions (direct):
P  0.438  0.356  0.913
Fe  0.603  0.459  0.150
P  0.467  0.001  0.703
P  0.756  0.398  0.008
P  0.533  0.999  0.297
P  0.562  0.856  0.913
Mo  0.101  0.250  0.000
P  0.765  0.939  0.092
P  0.256  0.102  0.508
P  0.118  0.270  0.311
P  0.256  0.398  0.492
P  0.484  0.305  0.668
P  0.765  0.561  0.908
P  0.618  0.270  0.189
Mo  0.399  0.750  0.500
P  0.882  0.770  0.311
P  0.618  0.230  0.811
P  0.938  0.144  0.413
P  0.938  0.356  0.587
P  0.016  0.695  0.168
P  0.244  0.898  0.008
P  0.033  0.999  0.203
Fe  0.897  0.959  0.350
P  0.744  0.898  0.492
P  0.265  0.939  0.408
P  0.244  0.602  0.992
P  0.984  0.195  0.168
P  0.062  0.856  0.587
P  0.516  0.805  0.668
P  0.382  0.770  0.189
P  0.382  0.730  0.811
P  0.735  0.439  0.408
Fe  0.603  0.041  0.850
Fe  0.103  0.041  0.650
P  0.467  0.499  0.297
P  0.533  0.501  0.703
P  0.516  0.695  0.332
P  0.744  0.602  0.508
P  0.062  0.644  0.413
P  0.235  0.439  0.092
Fe  0.397  0.541  0.850
P  0.967  0.001  0.797
P  0.882  0.730  0.689
Fe  0.897  0.541  0.650
P  0.562  0.644  0.087
P  0.438  0.144  0.087
P  0.118  0.230  0.689
P  0.033  0.501  0.797
P  0.265  0.561  0.592
P  0.756  0.102  0.992
P  0.016  0.805  0.832
P  0.984  0.305  0.832
P  0.484  0.195  0.332
Mo  0.601  0.250  0.500
P  0.967  0.499  0.203
P  0.735  0.061  0.592
P  0.235  0.061  0.908
Fe  0.103  0.459  0.350
Fe  0.397  0.959  0.150
Mo  0.899  0.750  0.000

***

Record 6
## Fe2MoP (PBE-GGA)

Data for a relaxed structure of Fe2MoP.

Output
E_form	-0.066	eV per atom

Cell: 4.560 4.560 4.560 Å, 134.24 134.24 66.72°
Each line ends with the local moment (μB).
Positions (direct):
Fe  0.000  0.000  0.000  1.61
Mo  0.500  0.500  0.000  0.04
P  0.750  0.250  0.500  0.00
Fe  0.250  0.750  0.500  -0.34

***

Record 7
## Fe2MoP (PBE-GGA)

Data for a relaxed structure of Fe2MoP.

Output
E_form	0.122	eV per atom

Cell: 7.939 7.939 7.939 Å, 19.93 19.93 19.93°
Each line ends with the local moment (μB).
Positions (direct):
Mo  0.497  0.497  0.497  -0.34
P  0.742  0.742  0.742  -0.04
Fe  0.005  0.005  0.005  1.34
Fe  0.255  0.255  0.255  2.12

***

Record 8
## Fe2MoP (PBE-GGA)

Data for a relaxed structure of Fe2MoP.

Output
E_form	-0.024	eV per atom

Cell: 2.870 3.570 4.886 Å, 90.00 90.00 90.00°
Each line ends with the local moment (μB).
Positions (direct):
Fe  0.000  0.000  0.987  1.59
Fe  0.000  0.000  0.513  1.59
P  0.500  0.500  0.750  0.00
Mo  0.500  0.500  0.250  -0.34

***

Record 9
## Fe2MoP (PBE-GGA)

Data for a relaxed structure of Fe2MoP.

Output
E_form	-0.181	eV per atom

Cell: 3.233 3.065 5.486 Å, 73.74 90.00 90.00°
Each line ends with the local moment (μB).
Positions (direct):
P  0.500  0.949  0.726  0.00
Fe  0.500  0.198  0.230  2.69
Fe  0.000  0.807  0.010  1.75
Mo  0.000  0.545  0.534  -0.05

***

Record 10
## Fe2MoP (PBE-GGA)

Data for a relaxed structure of Fe2MoP.

Output
E_form	0.038	eV per atom

Cell: 7.936 7.936 7.936 Å, 19.47 19.47 19.47°
Each line ends with the local moment (μB).
Positions (direct):
Fe  0.490  0.490  0.490  0.56
P  0.750  0.750  0.750  -0.03
Mo  0.250  0.250  0.250  -0.07
Fe  0.010  0.010  0.010  0.56

***

Record 11
## Fe2MoP (PBE-GGA)

Data for a relaxed structure of Fe2MoP.

Output
E_form	-0.016	eV per atom

Cell: 4.422 4.422 4.422 Å, 131.68 131.68 70.73°
Positions (direct):
Fe  0.500  0.500  0.000
Fe  0.000  0.000  0.000
Mo  0.250  0.750  0.500
P  0.750  0.250  0.500

***

Record 12
## Fe2MoP (PBE-GGA)

Data for a relaxed structure of Fe2MoP.

Output
E_form	0.078	eV per atom

Cell: 4.401 4.401 2.857 Å, 90.00 90.00 112.28°
Each line ends with the local moment (μB).
Positions (direct):
Fe  0.500  0.500  0.000  1.95
Fe  0.000  0.000  0.000  1.95
P  0.000  0.500  0.500  -0.02
Mo  0.500  0.000  0.500  -0.12

***

Record 13
## PaFeMoP2 (PBE-GGA)

Data for a relaxed structure of PaFeMoP2.

Output
E_form	-0.706	eV per atom

Cell: 4.050 4.050 5.573 Å, 111.31 111.31 90.00°
Positions (direct):
Fe  0.750  0.250  0.500
Pa  0.000  0.000  0.000
Mo  0.250  0.750  0.500
P  0.628  0.628  0.256
P  0.372  0.372  0.744